(1)
# YIn2P (PBE, relaxed)
# - crystal system = tetragonal
# - energy of formation (eV/atom) = -0.48
data_YIn2P
_chemical_formula_sum 'Y2 In4 P2'
_cell_length_a 4.1174
_cell_length_b 4.1174
_cell_length_c 11.0646
_cell_angle_alpha 90.00
_cell_angle_beta 90.00
_cell_angle_gamma 90.00
_space_group_name_H-M_alt 'I 4/m m m'
_space_group_IT_number 139
_space_group_name_Hall '-I 4 2'
loop_
_atom_site_label
_atom_site_fract_x
_atom_site_fract_y
_atom_site_fract_z
Y1 0.0000 0.0000 0.0000
In1 0.0000 0.5000 0.2500
P1 0.0000 0.0000 0.5000

=====

(2)
# YIn3P (PBE, relaxed)
# - crystal system = cubic
# - energy of formation (eV/atom) = 0.22
data_YIn3P
_chemical_formula_sum 'Y1 In3 P1'
_cell_length_a 5.1788
_cell_length_b 5.1788
_cell_length_c 5.1788
_cell_angle_alpha 90.00
_cell_angle_beta 90.00
_cell_angle_gamma 90.00
_space_group_name_H-M_alt 'P m -3 m'
_space_group_IT_number 221
_space_group_name_Hall '-P 4 2 3'
loop_
_atom_site_label
_atom_site_fract_x
_atom_site_fract_y
_atom_site_fract_z
Y1 0.0000 0.0000 0.0000
In1 0.0000 0.5000 0.5000
P1 0.5000 0.5000 0.5000

=====

(3)
# Y2InP (PBE, relaxed)
# - crystal system = tetragonal
# - energy of formation (eV/atom) = -0.78
data_Y2InP
_chemical_formula_sum 'Y2 In1 P1'
_cell_length_a 3.5051
_cell_length_b 3.5051
_cell_length_c 7.7794
_cell_angle_alpha 90.00
_cell_angle_beta 90.00
_cell_angle_gamma 90.00
_space_group_name_H-M_alt 'P 4/m m m'
_space_group_IT_number 123
_space_group_name_Hall '-P 4 2'
loop_
_atom_site_label
_atom_site_fract_x
_atom_site_fract_y
_atom_site_fract_z
Y1 0.0000 0.0000 0.2114
In1 0.5000 0.5000 0.5000
P1 0.5000 0.5000 0.0000

=====

(4)
# YIn2P (PBE, relaxed)
# - crystal system = cubic
# - energy of formation (eV/atom) = -0.18
data_YIn2P
_chemical_formula_sum 'Y4 In8 P4'
_cell_length_a 7.2184
_cell_length_b 7.2184
_cell_length_c 7.2184
_cell_angle_alpha 90.00
_cell_angle_beta 90.00
_cell_angle_gamma 90.00
_space_group_name_H-M_alt 'F -4 3 m'
_space_group_IT_number 216
_space_group_name_Hall 'F -4 2 3'
loop_
_atom_site_label
_atom_site_fract_x
_atom_site_fract_y
_atom_site_fract_z
Y1 0.0000 0.0000 0.0000
In1 0.0000 0.0000 0.5000
In2 0.2500 0.2500 0.2500
P1 0.2500 0.2500 0.7500

=====

(5)
# YIn3P (PBE, relaxed)
# - crystal system = cubic
# - energy of formation (eV/atom) = 1.03
data_YIn3P
_chemical_formula_sum 'Y1 In3 P1'
_cell_length_a 5.8072
_cell_length_b 5.8072
_cell_length_c 5.8072
_cell_angle_alpha 90.00
_cell_angle_beta 90.00
_cell_angle_gamma 90.00
_space_group_name_H-M_alt 'P m -3 m'
_space_group_IT_number 221
_space_group_name_Hall '-P 4 2 3'
loop_
_atom_site_label
_atom_site_fract_x
_atom_site_fract_y
_atom_site_fract_z
Y1 0.0000 0.0000 0.0000
In1 0.0000 0.0000 0.5000
P1 0.5000 0.5000 0.5000

=====

(6)
# YIn2P (PBE, relaxed)
# - crystal system = trigonal
# - energy of formation (eV/atom) = -0.09
data_YIn2P
_chemical_formula_sum 'Y3 In6 P3'
_cell_length_a 3.8091
_cell_length_b 3.8091
_cell_length_c 24.5409
_cell_angle_alpha 90.00
_cell_angle_beta 90.00
_cell_angle_gamma 120.00
_space_group_name_H-M_alt 'R -3 m'
_space_group_IT_number 166
_space_group_name_Hall '-R 3 2"'
loop_
_atom_site_label
_atom_site_fract_x
_atom_site_fract_y
_atom_site_fract_z
Y1 0.0000 0.0000 0.0000
In1 0.0000 0.0000 0.2326
P1 0.0000 0.0000 0.5000

=====

(7)
# YInP2 (PBE, relaxed)
# - crystal system = trigonal
# - energy of formation (eV/atom) = -0.67
data_YInP2
_chemical_formula_sum 'Y3 In3 P6'
_cell_length_a 4.0066
_cell_length_b 4.0066
_cell_length_c 19.1272
_cell_angle_alpha 90.00
_cell_angle_beta 90.00
_cell_angle_gamma 120.00
_space_group_name_H-M_alt 'R -3 m'
_space_group_IT_number 166
_space_group_name_Hall '-R 3 2"'
loop_
_atom_site_label
_atom_site_fract_x
_atom_site_fract_y
_atom_site_fract_z
Y1 0.0000 0.0000 0.0000
In1 0.0000 0.0000 0.5000
P1 0.0000 0.0000 0.2472

=====

(8)
# Y2InP (PBE, relaxed)
# - crystal system = cubic
# - energy of formation (eV/atom) = 0.04
data_Y2InP
_chemical_formula_sum 'Y8 In4 P4'
_cell_length_a 7.2905
_cell_length_b 7.2905
_cell_length_c 7.2905
_cell_angle_alpha 90.00
_cell_angle_beta 90.00
_cell_angle_gamma 90.00
_space_group_name_H-M_alt 'F -4 3 m'
_space_group_IT_number 216
_space_group_name_Hall 'F -4 2 3'
loop_
_atom_site_label
_atom_site_fract_x
_atom_site_fract_y
_atom_site_fract_z
Y1 0.0000 0.0000 0.0000
Y2 0.2500 0.2500 0.2500
In1 0.0000 0.0000 0.5000
P1 0.2500 0.2500 0.7500

=====

(9)
# Y2InP (PBE, relaxed)
# - crystal system = monoclinic
# - energy of formation (eV/atom) = -0.81
data_Y2InP
_chemical_formula_sum 'Y2 In1 P1'
_cell_length_a 3.4993
_cell_length_b 3.5999
_cell_length_c 7.7987
_cell_angle_alpha 90.00
_cell_angle_beta 96.74
_cell_angle_gamma 90.00
_space_group_name_H-M_alt 'P 1 2/m 1'
_space_group_IT_number 10
_space_group_name_Hall '-P 2y'
loop_
_atom_site_label
_atom_site_fract_x
_atom_site_fract_y
_atom_site_fract_z
Y1 0.0806 0.0000 0.2852
In1 0.5000 0.5000 0.0000
P1 0.5000 0.5000 0.5000

=====

(10)
# YIn2P (PBE, relaxed)
# - crystal system = tetragonal
# - energy of formation (eV/atom) = -0.43
data_YIn2P
_chemical_formula_sum 'Y1 In2 P1'
_cell_length_a 4.1738
_cell_length_b 4.1738
_cell_length_c 5.3083
_cell_angle_alpha 90.00
_cell_angle_beta 90.00
_cell_angle_gamma 90.00
_space_group_name_H-M_alt 'P 4/m m m'
_space_group_IT_number 123
_space_group_name_Hall '-P 4 2'
loop_
_atom_site_label
_atom_site_fract_x
_atom_site_fract_y
_atom_site_fract_z
Y1 0.0000 0.0000 0.0000
In1 0.0000 0.5000 0.5000
P1 0.5000 0.5000 0.0000

=====

(11)
# YIn2P4 (PBE, relaxed)
# - crystal system = monoclinic
# - energy of formation (eV/atom) = -0.34
data_YIn2P4
_chemical_formula_sum 'Y2 In4 P8'
_cell_length_a 7.3259
_cell_length_b 3.8557
_cell_length_c 11.4989
_cell_angle_alpha 90.00
_cell_angle_beta 104.73
_cell_angle_gamma 90.00
_space_group_name_H-M_alt 'P 1 21/m 1'
_space_group_IT_number 11
_space_group_name_Hall '-P 2yb'
loop_
_atom_site_label
_atom_site_fract_x
_atom_site_fract_y
_atom_site_fract_z
Y1 0.0477 0.2500 0.3036
In1 0.3109 0.2500 0.0224
In2 0.3824 0.7500 0.6492
P1 0.1095 0.2500 0.5547
P2 0.1744 0.7500 0.1485
P3 0.3185 0.7500 0.8674
P4 0.3554 0.7500 0.3324

=====

(12)
# Y2InP (PBE, relaxed)
# - crystal system = monoclinic
# - energy of formation (eV/atom) = -1.01
data_Y2InP
_chemical_formula_sum 'Y4 In2 P2'
_cell_length_a 6.7818
_cell_length_b 3.9110
_cell_length_c 8.2554
_cell_angle_alpha 90.00
_cell_angle_beta 105.78
_cell_angle_gamma 90.00
_space_group_name_H-M_alt 'C 1 2/m 1'
_space_group_IT_number 12
_space_group_name_Hall '-C 2y'
loop_
_atom_site_label
_atom_site_fract_x
_atom_site_fract_y
_atom_site_fract_z
Y1 0.2337 0.0000 0.2023
In1 0.0000 0.0000 0.5000
P1 0.0000 0.5000 0.0000

=====

Question: Which of these has the lowest energy of formation?
Answer: number 12

=====

Question: Look up the energy of formation of the ninth one.
Answer: -0.81 eV/atom